DFT (PBE+U) results for LiCo2CuO4 after structural relaxation.

Cell lengths 6.4517, 5.5384, 5.1434 Å; angles 90.00, 90.00, 90.00 degrees
Element x y z (fractional)
Li1 0.0000 0.1647 0.0000
Li2 0.5000 0.8353 0.5000
Co1 0.2494 0.3359 0.5006
Co2 0.2506 0.6641 0.0006
Co3 0.7494 0.6641 0.0006
Co4 0.7506 0.3359 0.5006
Cu1 0.0000 0.8408 0.5056
Cu2 0.5000 0.1592 0.0056
O1 0.0000 0.1833 0.3889
O2 0.0000 0.8202 0.8938
O3 0.2462 0.6611 0.3747
O4 0.2538 0.3389 0.8747
O5 0.5000 0.1798 0.3938
O6 0.5000 0.8167 0.8889
O7 0.7462 0.3389 0.8747
O8 0.7538 0.6611 0.3747

Calculated values
SG: No. 31
Uncorrected energy: -5.5305 eV per atom
Spin magnetization: 15.7 μB/cell